[1]
# meta-GGA SCAN Zn2SbN, single point on PBEsol structure
# Total magnetic moment ... 0.51 μB/atom
# Final energy ... -17.26 eV/atom
# Raw formation energy ... 1.132 eV per atom
data_Zn2SbN
_cell_length_a 4.478
_cell_length_b 4.478
_cell_length_c 4.478
_cell_angle_alpha 60.00
_cell_angle_beta 60.00
_cell_angle_gamma 60.00
_space_group_name_H-M_alt 'P 1'
_space_group_IT_number 1
_space_group_name_Hall 'P 1'
loop_
_atom_site_label
_atom_site_type_symbol
_atom_site_fract_x
_atom_site_fract_y
_atom_site_fract_z
Sb1 Sb 0.500 0.500 0.500
Zn1 Zn 0.250 0.250 0.250
Zn2 Zn 0.750 0.750 0.750
N1 N 0.000 0.000 0.000

=====

[2]
# meta-GGA SCAN TlSb3F18, single point on PBEsol structure
# Total magnetic moment ... 0.01 μB/atom
# Final energy ... -13.52 eV/atom
# Raw formation energy ... -2.258 eV per atom
data_TlSb3F18
_cell_length_a 8.730
_cell_length_b 9.406
_cell_length_c 9.406
_cell_angle_alpha 120.00
_cell_angle_beta 90.00
_cell_angle_gamma 90.00
_space_group_name_H-M_alt 'P 1'
_space_group_IT_number 1
_space_group_name_Hall 'P 1'
loop_
_atom_site_label
_atom_site_type_symbol
_atom_site_fract_x
_atom_site_fract_y
_atom_site_fract_z
Tl1 Tl 0.425 0.667 0.333
Tl2 Tl 0.575 0.333 0.667
Sb1 Sb 0.241 0.017 0.363
Sb2 Sb 0.241 0.637 0.654
Sb3 Sb 0.241 0.346 0.983
Sb4 Sb 0.759 0.983 0.637
Sb5 Sb 0.759 0.363 0.346
Sb6 Sb 0.759 0.654 0.017
F1 F 0.600 0.533 0.397
F2 F 0.600 0.603 0.136
F3 F 0.600 0.864 0.467
F4 F 0.400 0.467 0.603
F5 F 0.400 0.397 0.864
F6 F 0.400 0.136 0.533
F7 F 0.096 0.889 0.204
F8 F 0.096 0.796 0.684
F9 F 0.096 0.316 0.111
F10 F 0.904 0.111 0.796
F11 F 0.904 0.204 0.316
F12 F 0.904 0.684 0.889
F13 F 0.098 0.142 0.526
F14 F 0.098 0.474 0.616
F15 F 0.098 0.384 0.858
F16 F 0.902 0.858 0.474
F17 F 0.902 0.526 0.384
F18 F 0.902 0.616 0.142
F19 F 0.407 0.762 0.631
F20 F 0.407 0.369 0.131
F21 F 0.407 0.869 0.238
F22 F 0.593 0.238 0.369
F23 F 0.593 0.631 0.869
F24 F 0.593 0.131 0.762
F25 F 0.278 0.159 0.282
F26 F 0.278 0.718 0.877
F27 F 0.278 0.123 0.841
F28 F 0.722 0.841 0.718
F29 F 0.722 0.282 0.123
F30 F 0.722 0.877 0.159
F31 F 0.245 0.865 0.452
F32 F 0.245 0.548 0.413
F33 F 0.245 0.587 0.135
F34 F 0.755 0.135 0.548
F35 F 0.755 0.452 0.587
F36 F 0.755 0.413 0.865

=====

[3]
# meta-GGA SCAN MgZrSbRu2, single point on PBEsol structure
# Total magnetic moment ... 0.00 μB/atom
# Final energy ... -27.47 eV/atom
# Raw formation energy ... 1.045 eV per atom
data_MgZrSbRu2
_cell_length_a 4.795
_cell_length_b 4.795
_cell_length_c 5.147
_cell_angle_alpha 90.00
_cell_angle_beta 90.00
_cell_angle_gamma 90.00
_space_group_name_H-M_alt 'P 1'
_space_group_IT_number 1
_space_group_name_Hall 'P 1'
loop_
_atom_site_label
_atom_site_type_symbol
_atom_site_fract_x
_atom_site_fract_y
_atom_site_fract_z
Sb1 Sb 0.000 0.000 0.000
Mg1 Mg 0.500 0.500 0.500
Zr1 Zr 0.000 0.000 0.500
Ru1 Ru 0.000 0.500 0.000
Ru2 Ru 0.500 0.000 0.000